An optimized crystal structure of CoSbIr2, computed with GGA-PBE.

Output
space group = R3m (160)
energy relative to the elements, uncorrected = 419 meV per atom
crystal system = trigonal
volume = 15.54 Å³ per atom
M_tot = 0.411 μB per atom

Unit cell a=2.934 b=2.934 c=25.023 alpha=90.00 beta=90.00 gamma=120.00
Atoms (fractional coordinates):
Co 0.000 0.000 0.000
Co 0.333 0.667 0.667
Co 0.667 0.333 0.333
Sb 0.000 0.000 0.747
Sb 0.333 0.667 0.413
Sb 0.667 0.333 0.080
Ir 0.000 0.000 0.255
Ir 0.000 0.000 0.500
Ir 0.333 0.667 0.167
Ir 0.333 0.667 0.921
Ir 0.667 0.333 0.588
Ir 0.667 0.333 0.834